[1]
# KBaY2 PBE relaxed
data_KBaY2
_space_group_name_H-M_alt 'F -4 3 m'
_space_group_IT_number 216
_space_group_name_Hall 'F -4 2 3'
_cell_length_a 8.836
_cell_length_b 8.836
_cell_length_c 8.836
_cell_angle_alpha 90.00
_cell_angle_beta 90.00
_cell_angle_gamma 90.00
loop_
_atom_site_label
_atom_site_type_symbol
_atom_site_fract_x
_atom_site_fract_y
_atom_site_fract_z
K1 K 0.000 0.000 0.000
Ba1 Ba 0.250 0.250 0.250
Y1 Y 0.000 0.000 0.500
Y2 Y 0.250 0.250 0.750
# magnetization: 0.0 μB per formula unit
# final energy: -3.49 eV per atom


[2]
# KBaY2 PBE relaxed
data_KBaY2
_space_group_name_H-M_alt 'P 4 m m'
_space_group_IT_number 99
_cell_length_a 3.888
_cell_length_b 3.888
_cell_length_c 12.059
_cell_angle_alpha 90.00
_cell_angle_beta 90.00
_cell_angle_gamma 90.00
loop_
_space_group_symop_operation_xyz
'x,y,z'
'-y,x,z'
'-x,-y,z'
'y,-x,z'
'-x,y,z'
'y,x,z'
'x,-y,z'
'-y,-x,z'
loop_
_atom_site_label
_atom_site_type_symbol
_atom_site_fract_x
_atom_site_fract_y
_atom_site_fract_z
K1 K 0.000 0.000 0.000
Ba1 Ba 0.500 0.500 0.684
Y1 Y 0.000 0.000 0.444
Y2 Y 0.500 0.500 0.266
# magnetization: 0.4 μB per formula unit
# final energy: -3.76 eV per atom


[3]
# K2BaZn PBE relaxed
data_K2BaZn
_space_group_name_H-M_alt 'C 1 m 1'
_space_group_IT_number 8
_cell_length_a 12.271
_cell_length_b 4.466
_cell_length_c 8.441
_cell_angle_alpha 90.00
_cell_angle_beta 113.11
_cell_angle_gamma 90.00
loop_
_space_group_symop_operation_xyz
'x,y,z'
'x,-y,z'
'x+1/2,y+1/2,z'
'x+1/2,-y+1/2,z'
loop_
_atom_site_label
_atom_site_type_symbol
_atom_site_fract_x
_atom_site_fract_y
_atom_site_fract_z
K1 K 0.000 0.000 0.000
K2 K 0.187 0.000 0.698
Ba1 Ba 0.363 0.000 0.354
Zn1 Zn 0.152 0.500 0.352
# magnetization: 0.0 μB per formula unit
# final energy: -1.26 eV per atom


[4]
# K3BaZn PBE relaxed
data_K3BaZn
_space_group_name_H-M_alt 'P m -3 m'
_space_group_IT_number 221
_space_group_name_Hall '-P 4 2 3'
_cell_length_a 8.504
_cell_length_b 8.504
_cell_length_c 8.504
_cell_angle_alpha 90.00
_cell_angle_beta 90.00
_cell_angle_gamma 90.00
loop_
_atom_site_label
_atom_site_type_symbol
_atom_site_fract_x
_atom_site_fract_y
_atom_site_fract_z
K1 K 0.000 0.000 0.500
Ba1 Ba 0.000 0.000 0.000
Zn1 Zn 0.500 0.500 0.500
# magnetization: 1.0 μB per formula unit
# final energy: -0.64 eV per atom


[5]
# K3BaZn PBE relaxed
data_K3BaZn
_space_group_name_H-M_alt 'P m -3 m'
_space_group_IT_number 221
_space_group_name_Hall '-P 4 2 3'
_cell_length_a 6.743
_cell_length_b 6.743
_cell_length_c 6.743
_cell_angle_alpha 90.00
_cell_angle_beta 90.00
_cell_angle_gamma 90.00
loop_
_atom_site_label
_atom_site_type_symbol
_atom_site_fract_x
_atom_site_fract_y
_atom_site_fract_z
K1 K 0.000 0.000 0.500
Ba1 Ba 0.500 0.500 0.500
Zn1 Zn 0.000 0.000 0.000
# magnetization: 0.0 μB per formula unit
# final energy: -1.09 eV per atom


[6]
# KBa2Zn PBE relaxed
data_KBa2Zn
_space_group_name_H-M_alt 'I m m m'
_space_group_IT_number 71
_space_group_name_Hall '-I 2 2'
_cell_length_a 4.373
_cell_length_b 7.071
_cell_length_c 13.447
_cell_angle_alpha 90.00
_cell_angle_beta 90.00
_cell_angle_gamma 90.00
loop_
_atom_site_label
_atom_site_type_symbol
_atom_site_fract_x
_atom_site_fract_y
_atom_site_fract_z
K1 K 0.000 0.000 0.000
Ba1 Ba 0.000 0.500 0.193
Zn1 Zn 0.000 0.000 0.500
# magnetization: 0.0 μB per formula unit
# final energy: -1.46 eV per atom


[7]
# KBa2Zn PBE relaxed
data_KBa2Zn
_space_group_name_H-M_alt 'P 1 m 1'
_space_group_IT_number 6
_cell_length_a 4.811
_cell_length_b 4.609
_cell_length_c 10.185
_cell_angle_alpha 90.00
_cell_angle_beta 103.48
_cell_angle_gamma 90.00
loop_
_space_group_symop_operation_xyz
'x,y,z'
'x,-y,z'
loop_
_atom_site_label
_atom_site_type_symbol
_atom_site_fract_x
_atom_site_fract_y
_atom_site_fract_z
K1 K 0.000 0.000 0.000
Ba1 Ba 0.311 0.000 0.632
Ba2 Ba 0.667 0.500 0.340
Zn1 Zn 0.845 0.500 0.701
# magnetization: 0.0 μB per formula unit
# final energy: -1.52 eV per atom


[8]
# K2BaZn PBE relaxed
data_K2BaZn
_space_group_name_H-M_alt 'I m m m'
_space_group_IT_number 71
_space_group_name_Hall '-I 2 2'
_cell_length_a 4.140
_cell_length_b 5.589
_cell_length_c 18.385
_cell_angle_alpha 90.00
_cell_angle_beta 90.00
_cell_angle_gamma 90.00
loop_
_atom_site_label
_atom_site_type_symbol
_atom_site_fract_x
_atom_site_fract_y
_atom_site_fract_z
K1 K 0.000 0.000 0.170
Ba1 Ba 0.000 0.500 0.000
Zn1 Zn 0.000 0.500 0.500
# magnetization: 0.0 μB per formula unit
# final energy: -1.28 eV per atom


Number 1: formation enthalpy at 0 K 0.500 eV per atom. Number 2: formation enthalpy at 0 K 0.232 eV per atom. Number 3: formation enthalpy at 0 K 0.085 eV per atom. Number 4: formation enthalpy at 0 K 0.662 eV per atom. Number 5: formation enthalpy at 0 K 0.207 eV per atom. Number 6: formation enthalpy at 0 K 0.091 eV per atom. Number 7: formation enthalpy at 0 K 0.036 eV per atom. Number 8: formation enthalpy at 0 K 0.070 eV per atom.